Density functional theory data (PBE) for an optimized crystal structure of CsKSnSe2.

abc: 7.7130 7.7130 13.0303
angles: 104.80 104.80 32.82
Element x y z (fractional)
1 Cs 0.1597 0.1597 0.1393
2 Cs 0.8403 0.8403 0.8607
3 K 0.1458 0.1458 0.5331
4 K 0.8542 0.8542 0.4669
5 Sn 0.4538 0.4538 0.2921
6 Sn 0.5462 0.5462 0.7079
7 Se 0.0933 0.0933 0.8452
8 Se 0.3633 0.3633 0.6552
9 Se 0.6367 0.6367 0.3448
10 Se 0.9067 0.9067 0.1548

Properties
- uncorrected formation energy (meV per atom) = -881
- crystal system = monoclinic

Density functional theory data (PBE) for an optimized crystal structure of Cs2BaC.

abc: 5.8233 5.8233 5.8233
angles: 60.00 60.00 60.00
Element x y z (fractional)
1 Cs 0.2500 0.2500 0.2500
2 Cs 0.7500 0.7500 0.7500
3 Ba 0.0000 0.0000 0.0000
4 C 0.5000 0.5000 0.5000

Properties
- E (eV per atom) = -1.660
- D(E_F) (states/eV/atom) = 0.215
- crystal system = cubic

Density functional theory data (PBE) for an optimized crystal structure of EuCd2In.

abc: 3.8764 3.8764 7.2790
angles: 90.00 90.00 90.00
Element x y z (fractional)
1 Eu 0.0000 0.0000 0.0000
2 Cd 0.5000 0.5000 0.2712
3 Cd 0.5000 0.5000 0.7288
4 In 0.0000 0.0000 0.5000

Properties
- E (eV per atom) = -3.932
- D(E_F) (states/eV/atom) = 2.163
- crystal system = tetragonal